(1)
Density functional theory data (PBE-GGA) for an optimized crystal structure of La3Tb8Nd4.

Calculated values
* Fermi-level density of states: 30.07 states/eV/f.u.
* formation energy from the elements: 0.344 eV per atom
* total moment: 0.00 μB per cell
* VASP energy: -65.74 eV per cell

Cell lengths 6.8707, 9.4016, 9.4016 Å; angles 87.34, 111.47, 111.47 degrees
With the nearest neighbours (Å) after each atom.
Positions (direct):
Tb 0.9960 0.7327 0.7327  4 Nd 3.25-3.62, 2 Tb 3.27-3.60, 1 La 3.27
Tb 0.5000 0.2588 0.7412  3 La 3.13-3.40, 3 Nd 3.36-3.40
Tb 0.0040 0.2673 0.2673  4 Nd 3.25-3.62, 2 Tb 3.27-3.60, 1 La 3.27
Tb 0.5000 0.7412 0.2588  3 La 3.13-3.40, 3 Nd 3.36-3.40
Tb 0.5284 0.2678 0.2678  3 La 3.25-3.26, 2 Tb 3.27-3.60, 2 Nd 3.55-3.61
Tb 0.4716 0.7322 0.7322  3 La 3.25-3.26, 2 Tb 3.27-3.60, 2 Nd 3.55-3.61
Tb 0.0000 0.6419 0.3581  7 Tb 3.67-3.68, 4 La 3.68-3.90, 2 Nd 3.68
Tb 0.0000 0.3581 0.6419  7 Tb 3.67-3.68, 4 La 3.68-3.90, 2 Nd 3.68
La 0.5000 0.5000 0.5000  6 Tb 3.13-3.27
La 0.5000 0.5000 0.0000  4 Tb 3.25-3.40, 2 Nd 3.44
La 0.5000 0.0000 0.5000  4 Tb 3.25-3.40, 2 Nd 3.44
Nd 0.0000 0.5000 0.0000  4 Tb 3.25-3.40, 2 La 3.44
Nd 0.0000 0.0000 0.5000  4 Tb 3.25-3.40, 2 La 3.44
Nd 0.0000 0.0000 0.0000  2 Nd 3.44, 4 Tb 3.61-3.62
Nd 0.5000 0.0000 0.0000  6 Tb 3.36-3.55, 2 Nd 3.44

(2)
Density functional theory data (PBE-GGA) for an optimized crystal structure of LaTb3Nd5.

Calculated values
* Fermi-level density of states: 13.63 states/eV/f.u.
* formation energy from the elements: 0.270 eV per atom
* total moment: 0.00 μB per cell
* VASP energy: -80.45 eV per cell

Cell lengths 6.5298, 12.0086, 11.4064 Å; angles 129.69, 90.00, 105.78 degrees
With the nearest neighbours (Å) after each atom.
Positions (direct):
Nd 0.3988 0.0000 0.7500  1 La 3.01, 2 Nd 3.26
Nd 0.1308 0.6626 0.8716  4 Tb 3.40-3.69, 2 Nd 3.49-3.59, 1 La 3.55
Nd 0.6528 0.6616 0.0276  4 Nd 3.26-3.59, 1 Tb 3.58, 1 La 3.59
Nd 0.9912 0.3384 0.4724  4 Nd 3.26-3.59, 1 Tb 3.58, 1 La 3.59
Nd 0.6012 0.0000 0.2500  1 La 3.01, 2 Nd 3.26
Nd 0.8692 0.3374 0.1284  4 Tb 3.40-3.69, 2 Nd 3.49-3.59, 1 La 3.55
Nd 0.3472 0.3384 0.9724  4 Nd 3.26-3.59, 1 Tb 3.58, 1 La 3.59
Nd 0.4682 0.3374 0.6284  4 Tb 3.40-3.69, 2 Nd 3.49-3.59, 1 La 3.55
Nd 0.0088 0.6616 0.5276  4 Nd 3.26-3.59, 1 Tb 3.58, 1 La 3.59
Nd 0.5318 0.6626 0.3716  4 Tb 3.40-3.69, 2 Nd 3.49-3.59, 1 La 3.55
La 0.8604 0.0000 0.7500  2 Tb 2.99, 1 Nd 3.01
La 0.1396 0.0000 0.2500  2 Tb 2.99, 1 Nd 3.01
Tb 0.8617 0.3235 0.8087  4 Nd 3.40-3.58, 1 La 3.49, 2 Tb 3.53-3.57
Tb 0.1383 0.6765 0.1913  4 Nd 3.40-3.58, 1 La 3.49, 2 Tb 3.53-3.57
Tb 0.5382 0.6765 0.6913  4 Nd 3.40-3.58, 1 La 3.49, 2 Tb 3.53-3.57
Tb 0.0000 0.0000 0.0000  2 La 2.99
Tb 0.0000 0.0000 0.5000  2 La 2.99
Tb 0.4618 0.3235 0.3087  4 Nd 3.40-3.58, 1 La 3.49, 2 Tb 3.53-3.57

(3)
Density functional theory data (PBE-GGA) for an optimized crystal structure of LaTb3Nd4.

Calculated values
* Fermi-level density of states: 14.27 states/eV/f.u.
* formation energy from the elements: 0.032 eV per atom
* total moment: 0.00 μB per cell
* VASP energy: -75.26 eV per cell

Cell lengths 6.3809, 7.3886, 11.7558 Å; angles 90.00, 90.00, 90.00 degrees
With the nearest neighbours (Å) after each atom.
Positions (direct):
Nd 0.9821 0.1260 0.2531  5 Tb 3.60-3.72, 6 Nd 3.61-3.69, 1 La 3.65
Nd 0.4821 0.8740 0.7531  5 Tb 3.60-3.72, 6 Nd 3.61-3.69, 1 La 3.65
Nd 0.1446 0.8722 0.0000  6 Nd 3.61-3.74, 4 Tb 3.63-3.70, 2 La 3.67-3.72
Nd 0.1515 0.8733 0.5000  6 Nd 3.62-3.74, 4 Tb 3.64-3.71, 2 La 3.65-3.71
Nd 0.9821 0.1260 0.7469  5 Tb 3.60-3.72, 6 Nd 3.61-3.69, 1 La 3.65
Nd 0.6515 0.1267 0.0000  6 Nd 3.62-3.74, 4 Tb 3.64-3.71, 2 La 3.65-3.71
Nd 0.6446 0.1278 0.5000  6 Nd 3.61-3.74, 4 Tb 3.63-3.70, 2 La 3.67-3.72
Nd 0.4821 0.8740 0.2469  5 Tb 3.60-3.72, 6 Nd 3.61-3.69, 1 La 3.65
Tb 0.4805 0.3771 0.7505  4 Tb 3.62-3.67, 2 La 3.62-3.63, 6 Nd 3.63-3.72
Tb 0.4805 0.3771 0.2495  4 Tb 3.62-3.67, 2 La 3.62-3.63, 6 Nd 3.63-3.72
Tb 0.1479 0.3760 0.5000  6 Nd 3.60-3.71, 4 Tb 3.62-3.63, 2 La 3.67-3.69
Tb 0.9805 0.6229 0.7495  4 Tb 3.62-3.67, 2 La 3.62-3.63, 6 Nd 3.63-3.72
Tb 0.6479 0.6240 0.0000  6 Nd 3.60-3.71, 4 Tb 3.62-3.63, 2 La 3.67-3.69
Tb 0.9805 0.6229 0.2505  4 Tb 3.62-3.67, 2 La 3.62-3.63, 6 Nd 3.63-3.72
La 0.6462 0.6244 0.5000  6 Tb 3.62-3.69, 6 Nd 3.65-3.72
La 0.1462 0.3756 0.0000  6 Tb 3.62-3.69, 6 Nd 3.65-3.72